DFT (GGA-PBE) results for a relaxed Sm9Dy2Ho crystal.

Properties
Its volume is 397 Å³ per cell. The calculation puts the formation energy from the elements at 0.22 eV per formula unit. The calculation puts the density of states at the Fermi level at 19.2 states/eV per cell.

a b c (Å): 5.0960 5.0960 15.2869
angles (deg): 90.00 90.00 90.00
Space group P4/mmm (No. 123)
One atom of each set of equivalent atoms:
Sm 0.0000 0.0000 0.0000
Sm 0.0000 0.0000 0.3332
Sm 0.0000 0.5000 0.1664
Sm 0.0000 0.5000 0.5000
Dy 0.5000 0.5000 0.3331
Ho 0.5000 0.5000 0.0000